{
  "formula": "NdGa4Au8",
  "functional": "PBE-GGA",
  "state": "relaxed",
  "space_group": "I4/mmm, No. 139",
  "crystal_system": "tetragonal",
  "total_magnetization_mub_per_cell": 0.0,
  "formation_enthalpy_0k_ev_per_atom": -0.303,
  "lattice_angstrom": [[-0.681, -5.153, 1.699], [2.202, -4.801, -4.880], [5.750, -2.500, 3.522]],
  "species": ["Ga", "Ga", "Ga", "Ga", "Au", "Au", "Au", "Au", "Au", "Au", "Au", "Au", "Nd"],
  "frac_coords": [[0.500, 0.000, 0.500], [0.000, 0.500, 0.000], [0.500, 0.500, 0.000], [0.000, 0.000, 0.500], [0.662, 0.338, 0.338], [0.000, 0.338, 0.662], [0.338, 0.662, 0.662], [0.284, 0.216, 0.216], [0.000, 0.662, 0.338], [0.716, 0.784, 0.784], [0.500, 0.784, 0.216], [0.500, 0.216, 0.784], [0.000, 0.000, 0.000]]
}